Record 1
Computed, not measured: a relaxed LiSm2ZnO5 crystal at the PBE-GGA level of DFT.

Computed properties:
As for the space group: Cmc2_1, No. 36. Its formation energy (no corrections) is -2.436 eV per atom. As for the density of states at the Fermi level: 0.32 states/eV per atom. As for the volume: 213.74 Å³/cell.

Structure (CIF):
```
data_LiSm2ZnO5
_space_group_name_H-M_alt 'P 1'
_space_group_IT_number 1
_space_group_name_Hall 'P 1'
_cell_length_a 7.078
_cell_length_b 7.078
_cell_length_c 9.180
_cell_angle_alpha 90.00
_cell_angle_beta 90.00
_cell_angle_gamma 152.31
loop_
_atom_site_label
_atom_site_fract_x
_atom_site_fract_y
_atom_site_fract_z
_atom_site_occupancy
Li1 0.222 0.778 0.500 1
Li2 0.778 0.222 0.000 1
Sm1 0.120 0.880 0.808 1
Sm2 0.127 0.873 0.186 1
Sm3 0.873 0.127 0.686 1
Sm4 0.880 0.120 0.308 1
Zn1 0.420 0.580 0.988 1
Zn2 0.580 0.420 0.488 1
O1 0.031 0.969 0.563 1
O2 0.302 0.698 0.846 1
O3 0.311 0.689 0.152 1
O4 0.357 0.643 0.502 1
O5 0.489 0.511 0.792 1
O6 0.511 0.489 0.292 1
O7 0.643 0.357 0.002 1
O8 0.689 0.311 0.652 1
O9 0.698 0.302 0.346 1
O10 0.969 0.031 0.063 1
```

Record 2
Computed, not measured: a relaxed LiSnO crystal at the PBE-GGA level of DFT.

Computed properties:
As for the space group: Pnma, No. 62. Its formation energy (no corrections) is -1.180 eV per atom. As for the density of states at the Fermi level: 0.10 states/eV per atom. As for the volume: 192.70 Å³/cell.

Structure (CIF):
```
data_LiSnO
_space_group_name_H-M_alt 'P 1'
_space_group_IT_number 1
_space_group_name_Hall 'P 1'
_cell_length_a 5.510
_cell_length_b 3.545
_cell_length_c 9.864
_cell_angle_alpha 90.00
_cell_angle_beta 90.00
_cell_angle_gamma 90.00
loop_
_atom_site_label
_atom_site_fract_x
_atom_site_fract_y
_atom_site_fract_z
_atom_site_occupancy
Li1 0.030 0.250 0.083 1
Li2 0.470 0.750 0.583 1
Li3 0.530 0.250 0.417 1
Li4 0.970 0.750 0.917 1
Sn1 0.022 0.750 0.358 1
Sn2 0.478 0.250 0.858 1
Sn3 0.522 0.750 0.142 1
Sn4 0.978 0.250 0.642 1
O1 0.082 0.250 0.873 1
O2 0.418 0.750 0.373 1
O3 0.582 0.250 0.627 1
O4 0.918 0.750 0.127 1
```

Record 3
Computed, not measured: a relaxed LiSnO2 crystal at the PBE-GGA level of DFT.

Computed properties:
As for the space group: I-42d, No. 122. Its formation energy (no corrections) is -1.514 eV per atom. As for the density of states at the Fermi level: 0.03 states/eV per atom. As for the volume: 113.65 Å³/cell.

Structure (CIF):
```
data_LiSnO2
_space_group_name_H-M_alt 'P 1'
_space_group_IT_number 1
_space_group_name_Hall 'P 1'
_cell_length_a 5.959
_cell_length_b 5.959
_cell_length_c 5.959
_cell_angle_alpha 132.27
_cell_angle_beta 132.27
_cell_angle_gamma 69.81
loop_
_atom_site_label
_atom_site_fract_x
_atom_site_fract_y
_atom_site_fract_z
_atom_site_occupancy
Li1 0.000 0.000 0.000 1
Li2 0.750 0.250 0.500 1
Sn1 0.250 0.750 0.500 1
Sn2 0.500 0.500 0.000 1
O1 0.118 0.625 0.993 1
O2 0.375 0.368 0.493 1
O3 0.632 0.125 0.007 1
O4 0.875 0.882 0.507 1
```

Record 4
Computed, not measured: a relaxed Li8SnO6 crystal at the PBE-GGA level of DFT.

Computed properties:
As for the space group: R-3, No. 148. Its formation energy (no corrections) is -1.861 eV per atom. As for the density of states at the Fermi level: 0.00 states/eV per atom. As for the volume: 136.56 Å³/cell.

Structure (CIF):
```
data_Li8SnO6
_space_group_name_H-M_alt 'P 1'
_space_group_IT_number 1
_space_group_name_Hall 'P 1'
_cell_length_a 6.065
_cell_length_b 6.065
_cell_length_c 6.065
_cell_angle_alpha 54.24
_cell_angle_beta 54.24
_cell_angle_gamma 54.24
loop_
_atom_site_label
_atom_site_fract_x
_atom_site_fract_y
_atom_site_fract_z
_atom_site_occupancy
Li1 0.005 0.734 0.399 1
Li2 0.155 0.155 0.155 1
Li3 0.266 0.601 0.995 1
Li4 0.399 0.005 0.734 1
Li5 0.601 0.995 0.266 1
Li6 0.734 0.399 0.005 1
Li7 0.845 0.845 0.845 1
Li8 0.995 0.266 0.601 1
Sn1 0.500 0.500 0.500 1
O1 0.115 0.406 0.735 1
O2 0.265 0.885 0.594 1
O3 0.406 0.735 0.115 1
O4 0.594 0.265 0.885 1
O5 0.735 0.115 0.406 1
O6 0.885 0.594 0.265 1
```

Record 5
Computed, not measured: a relaxed Li2Sn3O8 crystal at the PBE-GGA level of DFT.

Computed properties:
As for the space group: C2/m, No. 12. Its formation energy (no corrections) is -1.424 eV per atom. As for the density of states at the Fermi level: 0.24 states/eV per atom. As for the volume: 166.52 Å³/cell.

Structure (CIF):
```
data_Li2Sn3O8
_space_group_name_H-M_alt 'P 1'
_space_group_IT_number 1
_space_group_name_Hall 'P 1'
_cell_length_a 5.981
_cell_length_b 5.981
_cell_length_c 5.525
_cell_angle_alpha 108.01
_cell_angle_beta 108.01
_cell_angle_gamma 64.91
loop_
_atom_site_label
_atom_site_fract_x
_atom_site_fract_y
_atom_site_fract_z
_atom_site_occupancy
Li1 0.176 0.176 0.121 1
Li2 0.824 0.824 0.879 1
Sn1 0.243 0.757 0.500 1
Sn2 0.500 0.500 0.000 1
Sn3 0.757 0.243 0.500 1
O1 0.117 0.117 0.731 1
O2 0.149 0.632 0.756 1
O3 0.368 0.851 0.244 1
O4 0.387 0.387 0.261 1
O5 0.613 0.613 0.739 1
O6 0.632 0.149 0.756 1
O7 0.851 0.368 0.244 1
O8 0.883 0.883 0.269 1
```

Record 6
Computed, not measured: a relaxed LiSn2O2 crystal at the PBE-GGA level of DFT.

Computed properties:
As for the space group: P4/mbm, No. 127. Its formation energy (no corrections) is -0.552 eV per atom. The calculation puts the excess energy over the best structure of this formula in the dataset at 1.949 eV per formula unit. As for the density of states at the Fermi level: 0.75 states/eV per atom. As for the volume: 203.28 Å³/cell.

Structure (CIF):
```
data_LiSn2O2
_space_group_name_H-M_alt 'P 1'
_space_group_IT_number 1
_space_group_name_Hall 'P 1'
_cell_length_a 7.704
_cell_length_b 7.704
_cell_length_c 3.425
_cell_angle_alpha 90.00
_cell_angle_beta 90.00
_cell_angle_gamma 90.00
loop_
_atom_site_label
_atom_site_fract_x
_atom_site_fract_y
_atom_site_fract_z
_atom_site_occupancy
Li1 0.000 0.000 0.000 1
Li2 0.500 0.500 0.000 1
Sn1 0.154 0.346 0.000 1
Sn2 0.346 0.846 0.000 1
Sn3 0.654 0.154 0.000 1
Sn4 0.846 0.654 0.000 1
O1 0.230 0.730 0.500 1
O2 0.270 0.230 0.500 1
O3 0.730 0.770 0.500 1
O4 0.770 0.270 0.500 1
```

Record 7
Computed, not measured: a relaxed LiSn3O crystal at the PBE-GGA level of DFT.

Computed properties:
As for the space group: Pm-3m, No. 221. Its formation energy (no corrections) is -0.304 eV per atom. The calculation puts the excess energy over the best structure of this formula in the dataset at 0.000 eV per formula unit. As for the density of states at the Fermi level: 0.66 states/eV per atom. As for the volume: 113.24 Å³/cell.

Structure (CIF):
```
data_LiSn3O
_space_group_name_H-M_alt 'P 1'
_space_group_IT_number 1
_space_group_name_Hall 'P 1'
_cell_length_a 4.838
_cell_length_b 4.838
_cell_length_c 4.838
_cell_angle_alpha 90.00
_cell_angle_beta 90.00
_cell_angle_gamma 90.00
loop_
_atom_site_label
_atom_site_fract_x
_atom_site_fract_y
_atom_site_fract_z
_atom_site_occupancy
Li1 0.000 0.000 0.000 1
Sn1 0.000 0.500 0.500 1
Sn2 0.500 0.000 0.500 1
Sn3 0.500 0.500 0.000 1
O1 0.500 0.500 0.500 1
```

Record 8
Computed, not measured: a relaxed Li3SnO3 crystal at the PBE-GGA level of DFT.

Computed properties:
As for the space group: C2/m, No. 12. Its formation energy (no corrections) is -1.563 eV per atom. As for the density of states at the Fermi level: 0.00 states/eV per atom. As for the volume: 171.43 Å³/cell.

Structure (CIF):
```
data_Li3SnO3
_space_group_name_H-M_alt 'P 1'
_space_group_IT_number 1
_space_group_name_Hall 'P 1'
_cell_length_a 5.985
_cell_length_b 5.985
_cell_length_c 5.565
_cell_angle_alpha 93.64
_cell_angle_beta 93.64
_cell_angle_gamma 119.90
loop_
_atom_site_label
_atom_site_fract_x
_atom_site_fract_y
_atom_site_fract_z
_atom_site_occupancy
Li1 0.202 0.202 0.497 1
Li2 0.239 0.761 0.000 1
Li3 0.247 0.753 0.500 1
Li4 0.753 0.247 0.500 1
Li5 0.761 0.239 0.000 1
Li6 0.798 0.798 0.503 1
Sn1 0.280 0.280 0.068 1
Sn2 0.720 0.720 0.932 1
O1 0.058 0.058 0.767 1
O2 0.126 0.466 0.253 1
O3 0.466 0.126 0.253 1
O4 0.534 0.874 0.747 1
O5 0.874 0.534 0.747 1
O6 0.942 0.942 0.233 1
```

Repeat the first record exactly.
Computed, not measured: a relaxed LiSm2ZnO5 crystal at the PBE-GGA level of DFT.

Computed properties:
As for the space group: Cmc2_1, No. 36. Its formation energy (no corrections) is -2.436 eV per atom. As for the density of states at the Fermi level: 0.32 states/eV per atom. As for the volume: 213.74 Å³/cell.

Structure (CIF):
```
data_LiSm2ZnO5
_space_group_name_H-M_alt 'P 1'
_space_group_IT_number 1
_space_group_name_Hall 'P 1'
_cell_length_a 7.078
_cell_length_b 7.078
_cell_length_c 9.180
_cell_angle_alpha 90.00
_cell_angle_beta 90.00
_cell_angle_gamma 152.31
loop_
_atom_site_label
_atom_site_fract_x
_atom_site_fract_y
_atom_site_fract_z
_atom_site_occupancy
Li1 0.222 0.778 0.500 1
Li2 0.778 0.222 0.000 1
Sm1 0.120 0.880 0.808 1
Sm2 0.127 0.873 0.186 1
Sm3 0.873 0.127 0.686 1
Sm4 0.880 0.120 0.308 1
Zn1 0.420 0.580 0.988 1
Zn2 0.580 0.420 0.488 1
O1 0.031 0.969 0.563 1
O2 0.302 0.698 0.846 1
O3 0.311 0.689 0.152 1
O4 0.357 0.643 0.502 1
O5 0.489 0.511 0.792 1
O6 0.511 0.489 0.292 1
O7 0.643 0.357 0.002 1
O8 0.689 0.311 0.652 1
O9 0.698 0.302 0.346 1
O10 0.969 0.031 0.063 1
```

Which value of formation energy (no corrections) does entry 8 give? -1.563 eV per atom

What did the second record say?
Computed, not measured: a relaxed LiSnO crystal at the PBE-GGA level of DFT.

Computed properties:
As for the space group: Pnma, No. 62. Its formation energy (no corrections) is -1.180 eV per atom. As for the density of states at the Fermi level: 0.10 states/eV per atom. As for the volume: 192.70 Å³/cell.

Structure (CIF):
```
data_LiSnO
_space_group_name_H-M_alt 'P 1'
_space_group_IT_number 1
_space_group_name_Hall 'P 1'
_cell_length_a 5.510
_cell_length_b 3.545
_cell_length_c 9.864
_cell_angle_alpha 90.00
_cell_angle_beta 90.00
_cell_angle_gamma 90.00
loop_
_atom_site_label
_atom_site_fract_x
_atom_site_fract_y
_atom_site_fract_z
_atom_site_occupancy
Li1 0.030 0.250 0.083 1
Li2 0.470 0.750 0.583 1
Li3 0.530 0.250 0.417 1
Li4 0.970 0.750 0.917 1
Sn1 0.022 0.750 0.358 1
Sn2 0.478 0.250 0.858 1
Sn3 0.522 0.750 0.142 1
Sn4 0.978 0.250 0.642 1
O1 0.082 0.250 0.873 1
O2 0.418 0.750 0.373 1
O3 0.582 0.250 0.627 1
O4 0.918 0.750 0.127 1
```